Compound: TlCo2Pt
Source: the Alexandria database
Functional: PBE
Structure: relaxed Values from VASP.

Structure (Quantum ESPRESSO input):
```
&SYSTEM
  ibrav = 0, nat = 4, ntyp = 3
/
ATOMIC_SPECIES
Tl 204.38 Tl.upf
Co 58.93 Co.upf
Pt 195.08 Pt.upf
CELL_PARAMETERS angstrom
3.9971 0.0000 0.0000
0.0000 3.9971 0.0000
0.0000 0.0000 3.7691
ATOMIC_POSITIONS crystal
Tl 0.0000 0.0000 0.0000
Co 0.0000 0.5000 0.5000
Co 0.5000 0.0000 0.5000
Pt 0.5000 0.5000 0.0000
```

Properties
- E (eV/atom) = -5.35
- formation energy from the elements (eV/atom) = 0.3079